Record 1
! PBE Mg2CoNi, optimized geometry; values from VASP
! Energy of formation from the pure elements (eV/f.u.): 0.34
! Energy above the lowest structure with this stoichiometry (meV/atom): 64
! Raw total energy (eV/atom): -3.94
&SYSTEM
  ibrav = 0, nat = 4, ntyp = 3
/
ATOMIC_SPECIES
Mg 24.30 Mg.upf
Co 58.93 Co.upf
Ni 58.69 Ni.upf
ATOMIC_POSITIONS angstrom
Mg 0.000 0.000 0.000
Mg 0.064 2.133 3.218
Co 1.346 0.000 2.269
Ni 1.482 2.133 0.964
CELL_PARAMETERS angstrom
2.769 0.000 0.000
0.000 4.266 0.000
-0.892 0.000 4.966

=====

Record 2
! PBE HfTl5S4, optimized geometry; values from VASP
! Formation energy from raw total energies (meV/atom): -655
! Raw total energy (eV/atom): -4.48
&SYSTEM
  ibrav = 0, nat = 10, ntyp = 3
/
ATOMIC_SPECIES
Hf 178.49 Hf.upf
Tl 204.38 Tl.upf
S 32.06 S.upf
ATOMIC_POSITIONS angstrom
Hf 0.000 0.000 0.000
Tl -0.865 0.000 4.139
Tl 4.797 0.000 5.521
Tl 5.633 0.000 1.640
Tl 10.607 0.000 6.639
Tl 11.443 0.000 2.758
S 2.517 0.000 0.453
S 7.560 0.000 6.560
S 8.680 0.000 1.719
S 13.722 0.000 7.825
CELL_PARAMETERS angstrom
8.985 -1.914 0.000
8.985 1.914 0.000
-1.730 0.000 8.278

=====

Record 3
! PBE Ba2LaMn, optimized geometry; values from VASP
! Energy of formation from the pure elements (eV/f.u.): 1.53
! Energy above the lowest structure with this stoichiometry (meV/atom): 98
! Raw total energy (eV/atom): -4.10
&SYSTEM
  ibrav = 0, nat = 4, ntyp = 3
/
ATOMIC_SPECIES
Ba 137.33 Ba.upf
La 138.91 La.upf
Mn 54.94 Mn.upf
ATOMIC_POSITIONS angstrom
Ba 0.000 0.000 3.068
Ba 0.000 0.000 16.237
La 0.000 2.357 0.000
Mn 1.907 0.000 0.000
CELL_PARAMETERS angstrom
-1.907 2.357 9.652
1.907 -2.357 9.652
1.907 2.357 -9.652

=====

Record 4
! PBE AlTcSe, optimized geometry; values from VASP
! Formation energy from raw total energies (meV/atom): -165
! Energy above the lowest structure with this stoichiometry (meV/atom): 0
! Raw total energy (eV/atom): -6.03
&SYSTEM
  ibrav = 0, nat = 3, ntyp = 3
/
ATOMIC_SPECIES
Al 26.98 Al.upf
Tc 98.00 Tc.upf
Se 78.96 Se.upf
ATOMIC_POSITIONS angstrom
Al 0.000 0.000 0.000
Tc 0.000 1.821 3.901
Se 1.577 0.910 2.179
CELL_PARAMETERS angstrom
3.154 0.000 0.000
-1.577 2.731 0.000
0.000 0.000 5.775

=====

| no. | volume (Å³/cell) | calculated density (g/cm³) |
| --- | --- | --- |
| 1 | 59 | 4.71 |
| 2 | 285 | 7.75 |
| 3 | 174 | 4.48 |
| 4 | 50 | 6.81 |